# 1
Zr2ScSi after structural relaxation. Source: Alexandria, functional GGA-PBEsol.

a = 3.609 Å, b = 3.609 Å, c = 6.007 Å
α = 90.00°, β = 90.00°, γ = 90.00°
Fractional positions:
1 Zr 0.000 0.000 0.725
2 Zr 0.000 0.000 0.275
3 Si 0.500 0.500 0.500
4 Sc 0.500 0.500 0.000

## Properties
Its uncorrected formation energy is -8.33 kcal/mol of atoms.

# 2
Sm3Sc after structural relaxation. Source: Alexandria, functional GGA-PBEsol.

a = 4.915 Å, b = 4.915 Å, c = 5.971 Å
α = 114.31°, β = 114.31°, γ = 90.00°
Fractional positions:
1 Sm 0.500 0.500 0.000
2 Sm 0.250 0.750 0.500
3 Sm 0.750 0.250 0.500
4 Sc 0.000 0.000 0.000

## Properties
The energy relative to the lowest polymorph listed for this composition is 0.000 eV/atom. For the formation enthalpy at 0 K, the calculation gives 0.11 eV per formula unit.

# 3
Sm3Sc after structural relaxation. Source: Alexandria, functional GGA-PBEsol.

a = 5.546 Å, b = 7.038 Å, c = 7.038 Å
α = 120.00°, β = 90.00°, γ = 90.00°
Fractional positions:
1 Sc 0.250 0.667 0.333
2 Sc 0.750 0.333 0.667
3 Sm 0.250 0.170 0.339
4 Sm 0.750 0.339 0.170
5 Sm 0.250 0.170 0.830
6 Sm 0.750 0.830 0.661
7 Sm 0.750 0.830 0.170
8 Sm 0.250 0.661 0.830

## Properties
The energy relative to the lowest polymorph listed for this composition is 0.007 eV/atom. For the formation enthalpy at 0 K, the calculation gives 0.14 eV per formula unit.

# 4
ScSn2 after structural relaxation. Source: Alexandria, functional GGA-PBEsol.

a = 4.207 Å, b = 4.261 Å, c = 7.932 Å
α = 74.42°, β = 90.00°, γ = 90.00°
Fractional positions:
1 Sc 0.000 0.647 0.707
2 Sc 0.000 0.353 0.293
3 Sn 0.500 0.817 0.366
4 Sn 0.500 0.183 0.634
5 Sn 0.500 0.500 0.000
6 Sn 0.000 0.000 0.000

## Properties
For the formation enthalpy at 0 K, the calculation gives -1.52 eV per formula unit.

Listing magnetic moment for the structures above in their given order: 0.0, 0.0, 0.0, 0.0 μB per formula unit.
Listing N(E_F) for the structures above in their given order: 4.996, 5.598, 13.692, 2.474 states/eV per cell.
Listing E_tot for the structures above in their given order: -7.994, -5.442, -5.436, -5.547 eV per atom.